one | Computed, not measured: an optimized crystal structure of TaTiMo3 at the GGA-PBE level of DFT.

## Properties
The size of the total moment comes out at 0.00 μB per cell. The volume comes out at 337.0 Å³/cell.

a = 13.552 Å, b = 5.224 Å, c = 4.760 Å
α = 90.00°, β = 90.00°, γ = 90.00°
Space group Pnna (No. 52)
Inequivalent atoms, fractional coordinates:
Ta: 0.051 0.250 0.250 [4 per cell]
Ti: 0.250 0.000 0.147 [4 per cell]
Mo: 0.059 0.750 0.250 [4 per cell]
Mo: 0.148 0.000 0.697 [8 per cell]

---

two | Computed, not measured: an optimized crystal structure of TaTiMo3 at the GGA-PBE level of DFT.

## Properties
The size of the total moment comes out at 0.00 μB per cell. The volume comes out at 92.9 Å³/cell.

a = 4.529 Å, b = 4.529 Å, c = 4.529 Å
α = 90.00°, β = 90.00°, γ = 90.00°
Space group Pm-3m (No. 221)
Inequivalent atoms, fractional coordinates:
Ta: 0.000 0.000 0.000 [1 per cell]
Ti: 0.500 0.500 0.500 [1 per cell]
Mo: 0.000 0.500 0.500 [3 per cell]

---

three | Computed, not measured: an optimized crystal structure of TaTiMo3 at the GGA-PBE level of DFT.

## Properties
The size of the total moment comes out at 0.00 μB per cell. The volume comes out at 512.1 Å³/cell.

a = 7.7645 Å, b = 7.7645 Å, c = 9.8076 Å
α = 90.00°, β = 90.00°, γ = 120.00°
Space group R-3 (No. 148, hexagonal axes)
Inequivalent atoms, fractional coordinates:
Ta: 0.0000 0.0000 0.1279 [6 per cell]
Ti: 0.0000 0.0000 0.3770 [6 per cell]
Mo: 0.0011 0.6566 0.8979 [18 per cell]

---

Energetically preferred structure: one | next structure: +0.297 eV/atom